Here is a geometry-optimized V3PS structure from the Alexandria database. Energies are from PBE.

Summary:
- M_tot: 0.0 μB/f.u.
- Distance to the lowest polymorph of the same formula: 3.339 eV per formula unit
- Calculated density: 4.72 g/cm³
- Uncorrected energy: -7.193 eV per atom
- Energy relative to the elements, uncorrected: 185 meV per atom

Structure (CIF):
```
data_V3PS
_chemical_formula_sum 'V3 P1 S1'
_space_group_name_H-M_alt 'P m -3 m'
_space_group_IT_number 221
_space_group_name_Hall '-P 4 2 3'
_cell_length_a 4.235
_cell_length_b 4.235
_cell_length_c 4.235
_cell_angle_alpha 90.00
_cell_angle_beta 90.00
_cell_angle_gamma 90.00
loop_
_atom_site_label
_atom_site_fract_x
_atom_site_fract_y
_atom_site_fract_z
V1 0.000 0.000 0.500
P1 0.500 0.500 0.500
S1 0.000 0.000 0.000
```